Entry 1:
A plane-wave DFT calculation with PBE was carried out for a relaxed KZnBr2 crystal.

The structure in CIF format:
```
data_KZnBr2
_chemical_formula_sum 'K1 Zn1 Br2'
_symmetry_space_group_name_H-M 'P 1 2/m 1'
_symmetry_Int_Tables_number 10
_cell_length_a 4.099
_cell_length_b 4.014
_cell_length_c 7.827
_cell_angle_alpha 90.00
_cell_angle_beta 90.24
_cell_angle_gamma 90.00
loop_
_symmetry_equiv_pos_as_xyz
'x,y,z'
'-x,-y,-z'
'-x,y,-z'
'x,-y,z'
loop_
_atom_site_label
_atom_site_fract_x
_atom_site_fract_y
_atom_site_fract_z
_atom_site_occupancy
K1 0.000 0.000 0.000 1
Zn1 0.500 0.000 0.500 1
Br1 0.497 0.500 0.756 1
```

Final energy, eV per atom: -2.26
E above lowest polymorph, eV per atom: 0.132

---

Entry 2:
A plane-wave DFT calculation with PBE was carried out for a relaxed K3ZnBr5 crystal.

The structure in CIF format:
```
data_K3ZnBr5
_chemical_formula_sum 'K12 Zn4 Br20'
_symmetry_space_group_name_H-M 'I 4/m c m'
_symmetry_Int_Tables_number 140
_symmetry_space_group_name_Hall '-I 4 2c'
_cell_length_a 9.091
_cell_length_b 9.091
_cell_length_c 14.899
_cell_angle_alpha 90.00
_cell_angle_beta 90.00
_cell_angle_gamma 90.00
loop_
_atom_site_label
_atom_site_fract_x
_atom_site_fract_y
_atom_site_fract_z
_atom_site_occupancy
K1 0.000 0.000 0.250 1
K2 0.161 0.339 0.000 1
Zn1 0.000 0.500 0.250 1
Br1 0.000 0.000 0.000 1
Br2 0.148 0.352 0.351 1
```

Final energy, eV per atom: -2.89

---

Entry 3:
A plane-wave DFT calculation with PBE was carried out for a relaxed K2ZnBr4 crystal.

The structure in CIF format:
```
data_K2ZnBr4
_chemical_formula_sum 'K4 Zn2 Br8'
_symmetry_space_group_name_H-M 'P 1 21 1'
_symmetry_Int_Tables_number 4
_cell_length_a 7.507
_cell_length_b 7.600
_cell_length_c 9.178
_cell_angle_alpha 90.00
_cell_angle_beta 107.86
_cell_angle_gamma 90.00
loop_
_symmetry_equiv_pos_as_xyz
'x,y,z'
'-x,y+1/2,-z'
loop_
_atom_site_label
_atom_site_fract_x
_atom_site_fract_y
_atom_site_fract_z
_atom_site_occupancy
K1 0.218 0.000 0.053 1
K2 0.264 0.005 0.566 1
Zn1 0.230 0.465 0.802 1
Br1 0.010 0.732 0.264 1
Br2 0.035 0.729 0.749 1
Br3 0.407 0.436 0.071 1
Br4 0.424 0.439 0.633 1
```

Final energy, eV per atom: -2.86
E above lowest polymorph, eV per atom: 0.000

---

What did we get for energy relative to the elements, uncorrected? Answer: -80.1 -140.7 -135.7 kJ/mol of atoms, in the order shown.
What did we get for M_tot? Answer: 0.000 0.038 0.000 μB per formula unit, in the order shown.